This record from the Alexandria database describes a geometry-optimized K2BaBiH structure. The functional is PBE-GGA.

Calculated values
As for the density of states at the Fermi level: 0.1 states/eV/f.u. The spin magnetization comes out at 0.00 μB per formula unit. Its crystal system is tetragonal. The electronic total energy is -0.204 Ry/atom.

Structure (CIF):
```
data_K2BaBiH
_cell_length_a 5.331
_cell_length_b 5.331
_cell_length_c 5.839
_cell_angle_alpha 90.00
_cell_angle_beta 90.00
_cell_angle_gamma 90.00
_symmetry_space_group_name_H-M 'P 4/m m m'
_symmetry_Int_Tables_number 123
_symmetry_space_group_name_Hall '-P 4 2'
loop_
_atom_site_label
_atom_site_fract_x
_atom_site_fract_y
_atom_site_fract_z
K1 0.000 0.500 0.000
Ba1 0.000 0.000 0.500
Bi1 0.500 0.500 0.500
H1 0.000 0.000 0.000
```

***

This record from the Alexandria database describes a geometry-optimized Ba2Li2Bi2H structure. The functional is PBE-GGA.

Calculated values
As for the density of states at the Fermi level: 4.5 states/eV/f.u. The spin magnetization comes out at 0.00 μB per formula unit. Its crystal system is tetragonal. The electronic total energy is -0.243 Ry/atom.

Structure (CIF):
```
data_Ba2Li2Bi2H
_cell_length_a 4.920
_cell_length_b 4.920
_cell_length_c 17.039
_cell_angle_alpha 90.00
_cell_angle_beta 90.00
_cell_angle_gamma 90.00
_symmetry_space_group_name_H-M 'I 4/m m m'
_symmetry_Int_Tables_number 139
_symmetry_space_group_name_Hall '-I 4 2'
loop_
_atom_site_label
_atom_site_fract_x
_atom_site_fract_y
_atom_site_fract_z
Ba1 0.000 0.000 0.158
Li1 0.000 0.500 0.000
Bi1 0.000 0.000 0.389
H1 0.000 0.000 0.000
```

***

This record from the Alexandria database describes a geometry-optimized BaMgBiH2 structure. The functional is PBE-GGA.

Calculated values
As for the density of states at the Fermi level: 1.3 states/eV/f.u. The spin magnetization comes out at 0.00 μB per formula unit. Its crystal system is orthorhombic. The electronic total energy is -0.239 Ry/atom.

Structure (CIF):
```
data_BaMgBiH2
_cell_length_a 4.819
_cell_length_b 12.551
_cell_length_c 7.008
_cell_angle_alpha 90.00
_cell_angle_beta 90.00
_cell_angle_gamma 90.00
_symmetry_space_group_name_H-M 'C m c m'
_symmetry_Int_Tables_number 63
_symmetry_space_group_name_Hall '-C 2c 2'
loop_
_atom_site_label
_atom_site_fract_x
_atom_site_fract_y
_atom_site_fract_z
Ba1 0.000 0.221 0.250
Mg1 0.000 0.500 0.000
Bi1 0.000 0.057 0.750
H1 0.000 0.346 0.557
```

***

This record from the Alexandria database describes a geometry-optimized BaMgBiH structure. The functional is PBE-GGA.

Calculated values
The spin magnetization comes out at 0.00 μB per formula unit. Its crystal system is trigonal. The electronic total energy is -0.244 Ry/atom.

Structure (CIF):
```
data_BaMgBiH
_cell_length_a 4.8625
_cell_length_b 4.8625
_cell_length_c 5.3253
_cell_angle_alpha 90.00
_cell_angle_beta 90.00
_cell_angle_gamma 120.00
_symmetry_space_group_name_H-M 'P 3 m 1'
_symmetry_Int_Tables_number 156
_symmetry_space_group_name_Hall 'P 3 -2"'
loop_
_atom_site_label
_atom_site_fract_x
_atom_site_fract_y
_atom_site_fract_z
Ba1 0.0000 0.0000 0.0000
Mg1 0.3333 0.6667 0.4332
Bi1 0.6667 0.3333 0.5484
H1 0.3333 0.6667 0.0734
```

***

This record from the Alexandria database describes a geometry-optimized Ba6Bi2HN structure. The functional is PBE-GGA.

Calculated values
As for the density of states at the Fermi level: 6.1 states/eV/f.u. The spin magnetization comes out at 0.00 μB per formula unit. Its crystal system is tetragonal. The electronic total energy is -0.276 Ry/atom.

Structure (CIF):
```
data_Ba6Bi2HN
_cell_length_a 7.899
_cell_length_b 7.899
_cell_length_c 11.163
_cell_angle_alpha 90.00
_cell_angle_beta 90.00
_cell_angle_gamma 90.00
_symmetry_space_group_name_H-M 'I 4/m m m'
_symmetry_Int_Tables_number 139
_symmetry_space_group_name_Hall '-I 4 2'
loop_
_atom_site_label
_atom_site_fract_x
_atom_site_fract_y
_atom_site_fract_z
Ba1 0.000 0.000 0.243
Ba2 0.243 0.243 0.000
Bi1 0.000 0.500 0.250
H1 0.000 0.000 0.500
N1 0.000 0.000 0.000
```

***

This record from the Alexandria database describes a geometry-optimized BaNa2BiH structure. The functional is PBE-GGA.

Calculated values
The spin magnetization comes out at 0.00 μB per formula unit. Its energy relative to the lowest polymorph listed for this composition is 0.27 eV per formula unit. Its crystal system is orthorhombic. The electronic total energy is -0.205 Ry/atom.

Structure (CIF):
```
data_BaNa2BiH
_cell_length_a 4.977
_cell_length_b 12.846
_cell_length_c 9.315
_cell_angle_alpha 90.00
_cell_angle_beta 90.00
_cell_angle_gamma 90.00
_symmetry_space_group_name_H-M 'C m c m'
_symmetry_Int_Tables_number 63
_symmetry_space_group_name_Hall '-C 2c 2'
loop_
_atom_site_label
_atom_site_fract_x
_atom_site_fract_y
_atom_site_fract_z
Ba1 0.000 0.060 0.250
Na1 0.000 0.337 0.060
Bi1 0.000 0.227 0.750
H1 0.000 0.500 0.000
```

***

This record from the Alexandria database describes a geometry-optimized BaNa2BiH structure. The functional is PBE-GGA.

Calculated values
As for the density of states at the Fermi level: 0.5 states/eV/f.u. The spin magnetization comes out at 0.00 μB per formula unit. Its energy relative to the lowest polymorph listed for this composition is 0.00 eV per formula unit. Its crystal system is tetragonal. The electronic total energy is -0.209 Ry/atom.

Structure (CIF):
```
data_BaNa2BiH
_cell_length_a 5.074
_cell_length_b 5.074
_cell_length_c 5.468
_cell_angle_alpha 90.00
_cell_angle_beta 90.00
_cell_angle_gamma 90.00
_symmetry_space_group_name_H-M 'P 4/m m m'
_symmetry_Int_Tables_number 123
_symmetry_space_group_name_Hall '-P 4 2'
loop_
_atom_site_label
_atom_site_fract_x
_atom_site_fract_y
_atom_site_fract_z
Ba1 0.000 0.000 0.000
Na1 0.000 0.500 0.500
Bi1 0.500 0.500 0.000
H1 0.000 0.000 0.500
```

***

This record from the Alexandria database describes a geometry-optimized Ba2NiBi2H4 structure. The functional is PBE-GGA.

Calculated values
As for the density of states at the Fermi level: 5.4 states/eV/f.u. The spin magnetization comes out at 0.00 μB per formula unit. Its crystal system is tetragonal. The electronic total energy is -0.266 Ry/atom.

Structure (CIF):
```
data_Ba2NiBi2H4
_cell_length_a 6.820
_cell_length_b 6.820
_cell_length_c 8.607
_cell_angle_alpha 90.00
_cell_angle_beta 90.00
_cell_angle_gamma 90.00
_symmetry_space_group_name_H-M 'I 4/m m m'
_symmetry_Int_Tables_number 139
_symmetry_space_group_name_Hall '-I 4 2'
loop_
_atom_site_label
_atom_site_fract_x
_atom_site_fract_y
_atom_site_fract_z
Ba1 0.000 0.500 0.250
Ni1 0.000 0.000 0.000
Bi1 0.000 0.000 0.326
H1 0.160 0.160 0.000
```

***

This record from the Alexandria database describes a geometry-optimized BaBiHPb2 structure. The functional is PBE-GGA.

Calculated values
As for the density of states at the Fermi level: 2.3 states/eV/f.u. The spin magnetization comes out at 0.00 μB per formula unit. Its crystal system is tetragonal. The electronic total energy is -0.258 Ry/atom.

Structure (CIF):
```
data_BaBiHPb2
_cell_length_a 5.157
_cell_length_b 5.157
_cell_length_c 5.300
_cell_angle_alpha 90.00
_cell_angle_beta 90.00
_cell_angle_gamma 90.00
_symmetry_space_group_name_H-M 'P 4/m m m'
_symmetry_Int_Tables_number 123
_symmetry_space_group_name_Hall '-P 4 2'
loop_
_atom_site_label
_atom_site_fract_x
_atom_site_fract_y
_atom_site_fract_z
Ba1 0.000 0.000 0.000
Bi1 0.500 0.500 0.000
H1 0.000 0.000 0.500
Pb1 0.000 0.500 0.500
```

***

This record from the Alexandria database describes a geometry-optimized Ba2BiHPb structure. The functional is PBE-GGA.

Calculated values
As for the density of states at the Fermi level: 2.4 states/eV/f.u. The spin magnetization comes out at 0.00 μB per formula unit. Its crystal system is tetragonal. The electronic total energy is -0.252 Ry/atom.

Structure (CIF):
```
data_Ba2BiHPb
_cell_length_a 5.811
_cell_length_b 5.811
_cell_length_c 4.796
_cell_angle_alpha 90.00
_cell_angle_beta 90.00
_cell_angle_gamma 90.00
_symmetry_space_group_name_H-M 'P 4/m m m'
_symmetry_Int_Tables_number 123
_symmetry_space_group_name_Hall '-P 4 2'
loop_
_atom_site_label
_atom_site_fract_x
_atom_site_fract_y
_atom_site_fract_z
Ba1 0.000 0.500 0.000
Bi1 0.000 0.000 0.500
H1 0.500 0.500 0.000
Pb1 0.500 0.500 0.500
```

***

This record from the Alexandria database describes a geometry-optimized Ba4BiHPb structure. The functional is PBE-GGA.

Calculated values
As for the density of states at the Fermi level: 2.6 states/eV/f.u. The spin magnetization comes out at 0.00 μB per formula unit. Its crystal system is orthorhombic. The electronic total energy is -0.243 Ry/atom.

Structure (CIF):
```
data_Ba4BiHPb
_cell_length_a 7.610
_cell_length_b 19.280
_cell_length_c 7.583
_cell_angle_alpha 90.00
_cell_angle_beta 90.00
_cell_angle_gamma 90.00
_symmetry_space_group_name_H-M 'C m c m'
_symmetry_Int_Tables_number 63
_symmetry_space_group_name_Hall '-C 2c 2'
loop_
_atom_site_label
_atom_site_fract_x
_atom_site_fract_y
_atom_site_fract_z
Ba1 0.000 0.065 0.250
Ba2 0.000 0.427 0.250
Ba3 0.250 0.250 0.000
Bi1 0.000 0.384 0.750
H1 0.000 0.275 0.250
Pb1 0.000 0.120 0.750
```

***

This record from the Alexandria database describes a geometry-optimized BaBiH2Pd structure. The functional is PBE-GGA.

Calculated values
As for the density of states at the Fermi level: 1.4 states/eV/f.u. The spin magnetization comes out at 0.00 μB per formula unit. Its crystal system is orthorhombic. The electronic total energy is -0.293 Ry/atom.

Structure (CIF):
```
data_BaBiH2Pd
_cell_length_a 4.420
_cell_length_b 12.452
_cell_length_c 7.014
_cell_angle_alpha 90.00
_cell_angle_beta 90.00
_cell_angle_gamma 90.00
_symmetry_space_group_name_H-M 'C m c m'
_symmetry_Int_Tables_number 63
_symmetry_space_group_name_Hall '-C 2c 2'
loop_
_atom_site_label
_atom_site_fract_x
_atom_site_fract_y
_atom_site_fract_z
Ba1 0.000 0.205 0.250
Bi1 0.000 0.066 0.750
H1 0.000 0.364 0.537
Pd1 0.000 0.500 0.000
```

***

Number 1: mass density 4259 kg/m³. Number 2: mass density 5697 kg/m³. Number 3: mass density 5839 kg/m³. Number 4: mass density 5659 kg/m³. Number 5: mass density 5993 kg/m³. Number 6: mass density 4386 kg/m³. Number 7: mass density 4640 kg/m³. Number 8: mass density 6267 kg/m³. Number 9: mass density 8973 kg/m³. Number 10: mass density 7094 kg/m³. Number 11: mass density 5770 kg/m³. Number 12: mass density 7825 kg/m³.